Below is a PBEsol-optimized structure of NiPIO2, with properties calculated at the SCAN level.

Cell lengths 3.454, 3.454, 5.972 Å; angles 90.00, 90.00, 90.00 degrees
Space group P4/mmm (No. 123)
Inequivalent atoms, fractional coordinates:
Ni 0.000 0.000 0.000 [1 per cell]
P 0.500 0.500 0.500 [1 per cell]
I 0.500 0.500 0.000 [1 per cell]
O 0.000 0.500 0.500 [2 per cell]

Results
* ΔE_f (raw): -0.272 eV/atom
* Fermi-level density of states: 1.1 states/eV per cell
* calculated volume: 71 Å³ per cell
* crystal system: tetragonal
* M_tot: 0.0 μB/f.u.